1.
# GGA-PBE LaThMg, relaxed
# **Relative energy among the computed polymorphs**: 0.160 eV/atom
# **Energy of formation from the pure elements**: 0.127 eV/atom
# **Volume**: 92.5 Å³ per cell
data_LaThMg
_symmetry_space_group_name_H-M 'P 3 m 1'
_symmetry_Int_Tables_number 156
_symmetry_space_group_name_Hall 'P 3 -2"'
_cell_length_a 5.5192
_cell_length_b 5.5192
_cell_length_c 3.5068
_cell_angle_alpha 90.00
_cell_angle_beta 90.00
_cell_angle_gamma 120.00
loop_
_atom_site_label
_atom_site_fract_x
_atom_site_fract_y
_atom_site_fract_z
_atom_site_occupancy
La1 0.0000 0.0000 0.0000 1
Th1 0.3333 0.6667 0.5895 1
Mg1 0.6667 0.3333 0.2778 1


2.
# GGA-PBE La2Th2Mg, relaxed
# **Energy of formation from the pure elements**: -0.037 eV/atom
# **Volume**: 323.8 Å³ per cell
data_La2Th2Mg
_symmetry_space_group_name_H-M 'I 4/m m m'
_symmetry_Int_Tables_number 139
_symmetry_space_group_name_Hall '-I 4 2'
_cell_length_a 3.6247
_cell_length_b 3.6247
_cell_length_c 24.6418
_cell_angle_alpha 90.00
_cell_angle_beta 90.00
_cell_angle_gamma 90.00
loop_
_atom_site_label
_atom_site_fract_x
_atom_site_fract_y
_atom_site_fract_z
_atom_site_occupancy
La1 0.0000 0.0000 0.0972 1
Th1 0.0000 0.0000 0.2989 1
Mg1 0.0000 0.0000 0.5000 1


3.
# GGA-PBE LaMg2Ti4, relaxed
# **Energy of formation from the pure elements**: 1.103 eV/atom
# **Volume**: 327.9 Å³ per cell
data_LaMg2Ti4
_symmetry_space_group_name_H-M 'I 4/m m m'
_symmetry_Int_Tables_number 139
_symmetry_space_group_name_Hall '-I 4 2'
_cell_length_a 4.7525
_cell_length_b 4.7525
_cell_length_c 14.5163
_cell_angle_alpha 90.00
_cell_angle_beta 90.00
_cell_angle_gamma 90.00
loop_
_atom_site_label
_atom_site_fract_x
_atom_site_fract_y
_atom_site_fract_z
_atom_site_occupancy
La1 0.0000 0.0000 0.0000 1
Mg1 0.0000 0.0000 0.3708 1
Ti1 0.0000 0.0000 0.1695 1
Ti2 0.0000 0.5000 0.0000 1


4.
# GGA-PBE LaMg2Ti2, relaxed
# **Energy of formation from the pure elements**: 0.329 eV/atom
# **Volume**: 228.9 Å³ per cell
data_LaMg2Ti2
_symmetry_space_group_name_H-M 'P 4/m b m'
_symmetry_Int_Tables_number 127
_symmetry_space_group_name_Hall '-P 4 2ab'
_cell_length_a 8.5232
_cell_length_b 8.5232
_cell_length_c 3.1504
_cell_angle_alpha 90.00
_cell_angle_beta 90.00
_cell_angle_gamma 90.00
loop_
_atom_site_label
_atom_site_fract_x
_atom_site_fract_y
_atom_site_fract_z
_atom_site_occupancy
La1 0.0000 0.0000 0.0000 1
Mg1 0.1208 0.3792 0.0000 1
Ti1 0.1748 0.6748 0.5000 1


5.
# GGA-PBE LaMgTi3, relaxed
# **Relative energy among the computed polymorphs**: 0.116 eV/atom
# **Energy of formation from the pure elements**: 1.119 eV/atom
# **Volume**: 112.8 Å³ per cell
data_LaMgTi3
_symmetry_space_group_name_H-M 'P m -3 m'
_symmetry_Int_Tables_number 221
_symmetry_space_group_name_Hall '-P 4 2 3'
_cell_length_a 4.8321
_cell_length_b 4.8321
_cell_length_c 4.8321
_cell_angle_alpha 90.00
_cell_angle_beta 90.00
_cell_angle_gamma 90.00
loop_
_atom_site_label
_atom_site_fract_x
_atom_site_fract_y
_atom_site_fract_z
_atom_site_occupancy
La1 0.0000 0.0000 0.0000 1
Mg1 0.5000 0.5000 0.5000 1
Ti1 0.0000 0.0000 0.5000 1


6.
# GGA-PBE LaMg3Ti, relaxed
# **Relative energy among the computed polymorphs**: 0.000 eV/atom
# **Energy of formation from the pure elements**: 0.521 eV/atom
# **Volume**: 146.6 Å³ per cell
data_LaMg3Ti
_symmetry_space_group_name_H-M 'P m -3 m'
_symmetry_Int_Tables_number 221
_symmetry_space_group_name_Hall '-P 4 2 3'
_cell_length_a 5.2726
_cell_length_b 5.2726
_cell_length_c 5.2726
_cell_angle_alpha 90.00
_cell_angle_beta 90.00
_cell_angle_gamma 90.00
loop_
_atom_site_label
_atom_site_fract_x
_atom_site_fract_y
_atom_site_fract_z
_atom_site_occupancy
La1 0.0000 0.0000 0.0000 1
Mg1 0.0000 0.5000 0.5000 1
Ti1 0.5000 0.5000 0.5000 1


7.
# GGA-PBE LaMg14Ti, relaxed
# **Relative energy among the computed polymorphs**: 0.008 eV/atom
# **Energy of formation from the pure elements**: 0.068 eV/atom
# **Volume**: 381.4 Å³ per cell
data_LaMg14Ti
_symmetry_space_group_name_H-M 'P -6 m 2'
_symmetry_Int_Tables_number 187
_symmetry_space_group_name_Hall 'P -6 2'
_cell_length_a 6.5519
_cell_length_b 6.5519
_cell_length_c 10.2595
_cell_angle_alpha 90.00
_cell_angle_beta 90.00
_cell_angle_gamma 120.00
loop_
_atom_site_label
_atom_site_fract_x
_atom_site_fract_y
_atom_site_fract_z
_atom_site_occupancy
La1 0.0000 0.0000 0.0000 1
Mg1 0.0162 0.5081 0.0000 1
Mg2 0.1660 0.3320 0.2628 1
Mg3 0.5016 0.0033 0.5000 1
Mg4 0.6667 0.3333 0.2376 1
Ti1 0.0000 0.0000 0.5000 1


8.
# GGA-PBE LaMg3Ti, relaxed
# **Relative energy among the computed polymorphs**: 1.074 eV/atom
# **Energy of formation from the pure elements**: 1.595 eV/atom
# **Volume**: 173.2 Å³ per cell
data_LaMg3Ti
_symmetry_space_group_name_H-M 'P m -3 m'
_symmetry_Int_Tables_number 221
_symmetry_space_group_name_Hall '-P 4 2 3'
_cell_length_a 5.5745
_cell_length_b 5.5745
_cell_length_c 5.5745
_cell_angle_alpha 90.00
_cell_angle_beta 90.00
_cell_angle_gamma 90.00
loop_
_atom_site_label
_atom_site_fract_x
_atom_site_fract_y
_atom_site_fract_z
_atom_site_occupancy
La1 0.0000 0.0000 0.0000 1
Mg1 0.0000 0.0000 0.5000 1
Ti1 0.5000 0.5000 0.5000 1


9.
# GGA-PBE LaMgTi3, relaxed
# **Relative energy among the computed polymorphs**: 0.000 eV/atom
# **Energy of formation from the pure elements**: 1.002 eV/atom
# **Volume**: 122.1 Å³ per cell
data_LaMgTi3
_symmetry_space_group_name_H-M 'P m -3 m'
_symmetry_Int_Tables_number 221
_symmetry_space_group_name_Hall '-P 4 2 3'
_cell_length_a 4.9607
_cell_length_b 4.9607
_cell_length_c 4.9607
_cell_angle_alpha 90.00
_cell_angle_beta 90.00
_cell_angle_gamma 90.00
loop_
_atom_site_label
_atom_site_fract_x
_atom_site_fract_y
_atom_site_fract_z
_atom_site_occupancy
La1 0.0000 0.0000 0.0000 1
Mg1 0.5000 0.5000 0.5000 1
Ti1 0.0000 0.5000 0.5000 1


10.
# GGA-PBE LaMgTi2, relaxed
# **Energy of formation from the pure elements**: 0.591 eV/atom
# **Volume**: 382.5 Å³ per cell
data_LaMgTi2
_symmetry_space_group_name_H-M 'I -4 2 d'
_symmetry_Int_Tables_number 122
_symmetry_space_group_name_Hall 'I -4 2bw'
_cell_length_a 4.2994
_cell_length_b 4.2994
_cell_length_c 20.6940
_cell_angle_alpha 90.00
_cell_angle_beta 90.00
_cell_angle_gamma 90.00
loop_
_atom_site_label
_atom_site_fract_x
_atom_site_fract_y
_atom_site_fract_z
_atom_site_occupancy
La1 0.0000 0.0000 0.0000 1
Mg1 0.0000 0.0000 0.5000 1
Ti1 0.2417 0.2500 0.6250 1


11.
# GGA-PBE LaMg14Ti, relaxed
# **Relative energy among the computed polymorphs**: 0.000 eV/atom
# **Energy of formation from the pure elements**: 0.060 eV/atom
# **Volume**: 759.8 Å³ per cell
data_LaMg14Ti
_symmetry_space_group_name_H-M 'A m m 2'
_symmetry_Int_Tables_number 38
_symmetry_space_group_name_Hall 'A 2 -2'
_cell_length_a 10.4818
_cell_length_b 6.2794
_cell_length_c 11.5438
_cell_angle_alpha 90.00
_cell_angle_beta 90.00
_cell_angle_gamma 90.00
loop_
_atom_site_label
_atom_site_fract_x
_atom_site_fract_y
_atom_site_fract_z
_atom_site_occupancy
La1 0.0000 0.0000 0.0000 1
Mg1 0.0000 0.2484 0.2482 1
Mg2 0.2364 0.0000 0.6445 1
Mg3 0.2536 0.2456 0.4003 1
Mg4 0.2626 0.0000 0.1551 1
Mg5 0.5000 0.0000 0.4911 1
Mg6 0.5000 0.0000 0.9880 1
Mg7 0.5000 0.2462 0.7399 1
Ti1 0.0000 0.0000 0.4842 1


12.
# GGA-PBE La2MgTi2, relaxed
# **Relative energy among the computed polymorphs**: 0.000 eV/atom
# **Energy of formation from the pure elements**: 0.302 eV/atom
# **Volume**: 263.2 Å³ per cell
data_La2MgTi2
_symmetry_space_group_name_H-M 'P 4/m b m'
_symmetry_Int_Tables_number 127
_symmetry_space_group_name_Hall '-P 4 2ab'
_cell_length_a 8.7806
_cell_length_b 8.7806
_cell_length_c 3.4138
_cell_angle_alpha 90.00
_cell_angle_beta 90.00
_cell_angle_gamma 90.00
loop_
_atom_site_label
_atom_site_fract_x
_atom_site_fract_y
_atom_site_fract_z
_atom_site_occupancy
La1 0.1928 0.3072 0.0000 1
Mg1 0.0000 0.0000 0.5000 1
Ti1 0.1060 0.6060 0.5000 1